DFT (PBE with a Hubbard U) results for an optimized crystal structure of MnTlSn2O.

Magnetization, μB per cell: 4.9
DFT total energy, eV/atom: -3.973

```
data_MnTlSn2O
_symmetry_space_group_name_H-M 'P 4/m m m'
_symmetry_Int_Tables_number 123
_symmetry_space_group_name_Hall '-P 4 2'
_cell_length_a 5.892
_cell_length_b 5.892
_cell_length_c 4.119
_cell_angle_alpha 90.00
_cell_angle_beta 90.00
_cell_angle_gamma 90.00
loop_
_atom_site_label
_atom_site_fract_x
_atom_site_fract_y
_atom_site_fract_z
Mn1 0.000 0.000 0.000
Tl1 0.500 0.500 0.500
Sn1 0.000 0.500 0.500
O1 0.500 0.500 0.000
```